(1)
# CsSiSbS4, relaxed, DFT PBE-GGA
data_CsSiSbS4
_space_group_name_H-M_alt 'P 1'
_space_group_IT_number 1
_cell_length_a 6.970
_cell_length_b 6.789
_cell_length_c 9.489
_cell_angle_alpha 90.00
_cell_angle_beta 108.60
_cell_angle_gamma 90.00
loop_
_space_group_symop_operation_xyz
'x,y,z'
loop_
_atom_site_label
_atom_site_type_symbol
_atom_site_fract_x
_atom_site_fract_y
_atom_site_fract_z
Cs1 Cs 0.225 0.250 0.450
Cs2 Cs 0.775 0.750 0.550
Si1 Si 0.251 0.750 0.164
Si2 Si 0.749 0.250 0.836
Sb1 Sb 0.259 0.250 0.999
Sb2 Sb 0.741 0.750 0.001
S1 S 0.062 0.750 0.933
S2 S 0.079 0.750 0.307
S3 S 0.455 0.502 0.198
S4 S 0.455 0.998 0.198
S5 S 0.545 0.002 0.802
S6 S 0.545 0.498 0.802
S7 S 0.921 0.250 0.693
S8 S 0.938 0.250 0.067
# E_form (uncorrected) ... -746.7 meV/atom
# Density of states at the Fermi level ... 0.00 states/eV/atom
# Space-group type ... P2_1/m, No. 11
# Total DFT energy (no corrections) ... -4.591 eV/atom

---

(2)
# AcNdSiGe, relaxed, DFT PBE-GGA
data_AcNdSiGe
_space_group_name_H-M_alt 'P 1'
_space_group_IT_number 1
_cell_length_a 5.351
_cell_length_b 5.351
_cell_length_c 5.351
_cell_angle_alpha 60.00
_cell_angle_beta 60.00
_cell_angle_gamma 60.00
loop_
_space_group_symop_operation_xyz
'x,y,z'
loop_
_atom_site_label
_atom_site_type_symbol
_atom_site_fract_x
_atom_site_fract_y
_atom_site_fract_z
Ac1 Ac 0.000 0.000 0.000
Nd1 Nd 0.500 0.500 0.500
Si1 Si 0.750 0.750 0.750
Ge1 Ge 0.250 0.250 0.250
# E_form (uncorrected) ... -415.2 meV/atom
# Density of states at the Fermi level ... 1.25 states/eV/atom
# Space-group type ... F-43m, No. 216
# Total DFT energy (no corrections) ... -5.144 eV/atom

---

(3)
# NbRh2AuC, relaxed, DFT PBE-GGA
data_NbRh2AuC
_space_group_name_H-M_alt 'P 1'
_space_group_IT_number 1
_cell_length_a 4.792
_cell_length_b 4.792
_cell_length_c 4.083
_cell_angle_alpha 90.00
_cell_angle_beta 90.00
_cell_angle_gamma 90.00
loop_
_space_group_symop_operation_xyz
'x,y,z'
loop_
_atom_site_label
_atom_site_type_symbol
_atom_site_fract_x
_atom_site_fract_y
_atom_site_fract_z
Nb1 Nb 0.000 0.000 0.000
Rh1 Rh 0.000 0.500 0.000
Rh2 Rh 0.500 0.000 0.000
Au1 Au 0.500 0.500 0.500
C1 C 0.000 0.000 0.500
# Density of states at the Fermi level ... 1.22 states/eV/atom
# Space-group type ... P4/mmm, No. 123
# Total DFT energy (no corrections) ... -6.029 eV/atom

---

(4)
# Tm4Al16Fe3, relaxed, DFT PBE-GGA
data_Tm4Al16Fe3
_space_group_name_H-M_alt 'P 1'
_space_group_IT_number 1
_cell_length_a 5.997
_cell_length_b 5.997
_cell_length_c 11.143
_cell_angle_alpha 90.00
_cell_angle_beta 90.00
_cell_angle_gamma 90.00
loop_
_space_group_symop_operation_xyz
'x,y,z'
loop_
_atom_site_label
_atom_site_type_symbol
_atom_site_fract_x
_atom_site_fract_y
_atom_site_fract_z
Tm1 Tm 0.000 0.500 0.192
Tm2 Tm 0.000 0.500 0.808
Tm3 Tm 0.500 0.000 0.192
Tm4 Tm 0.500 0.000 0.808
Al1 Al 0.000 0.000 0.195
Al2 Al 0.000 0.000 0.805
Al3 Al 0.225 0.225 0.000
Al4 Al 0.225 0.775 0.000
Al5 Al 0.251 0.251 0.385
Al6 Al 0.251 0.251 0.615
Al7 Al 0.251 0.749 0.385
Al8 Al 0.251 0.749 0.615
Al9 Al 0.500 0.500 0.212
Al10 Al 0.500 0.500 0.788
Al11 Al 0.749 0.251 0.385
Al12 Al 0.749 0.251 0.615
Al13 Al 0.749 0.749 0.385
Al14 Al 0.749 0.749 0.615
Al15 Al 0.775 0.225 0.000
Al16 Al 0.775 0.775 0.000
Fe1 Fe 0.000 0.500 0.500
Fe2 Fe 0.500 0.000 0.500
Fe3 Fe 0.500 0.500 0.000
# Density of states at the Fermi level ... 0.51 states/eV/atom
# Space-group type ... P4/mmm, No. 123
# Total DFT energy (no corrections) ... -4.884 eV/atom

---

(5)
# ZnCoW, relaxed, DFT PBE-GGA
data_ZnCoW
_space_group_name_H-M_alt 'P 1'
_space_group_IT_number 1
_cell_length_a 4.165
_cell_length_b 4.165
_cell_length_c 2.647
_cell_angle_alpha 90.00
_cell_angle_beta 90.00
_cell_angle_gamma 120.00
loop_
_space_group_symop_operation_xyz
'x,y,z'
loop_
_atom_site_label
_atom_site_type_symbol
_atom_site_fract_x
_atom_site_fract_y
_atom_site_fract_z
Zn1 Zn 0.000 0.000 0.000
Co1 Co 0.667 0.333 0.073
W1 W 0.333 0.667 0.509
# Density of states at the Fermi level ... 0.73 states/eV/atom
# Space-group type ... P3m1, No. 156
# Total DFT energy (no corrections) ... -6.948 eV/atom

---

(6)
# LaTbGd2, relaxed, DFT PBE-GGA
data_LaTbGd2
_space_group_name_H-M_alt 'P 1'
_space_group_IT_number 1
_cell_length_a 12.691
_cell_length_b 12.691
_cell_length_c 12.691
_cell_angle_alpha 15.96
_cell_angle_beta 15.96
_cell_angle_gamma 15.96
loop_
_space_group_symop_operation_xyz
'x,y,z'
loop_
_atom_site_label
_atom_site_type_symbol
_atom_site_fract_x
_atom_site_fract_y
_atom_site_fract_z
La1 La 0.000 0.000 0.000
Tb1 Tb 0.500 0.500 0.500
Gd1 Gd 0.090 0.090 0.090
Gd2 Gd 0.910 0.910 0.910
# Density of states at the Fermi level ... 1.60 states/eV/atom
# Space-group type ... R-3m, No. 166
# Total DFT energy (no corrections) ... -9.303 eV/atom

---

(7)
# Pm2SnP, relaxed, DFT PBE-GGA
data_Pm2SnP
_space_group_name_H-M_alt 'P 1'
_space_group_IT_number 1
_cell_length_a 3.545
_cell_length_b 3.545
_cell_length_c 8.087
_cell_angle_alpha 90.00
_cell_angle_beta 90.00
_cell_angle_gamma 90.00
loop_
_space_group_symop_operation_xyz
'x,y,z'
loop_
_atom_site_label
_atom_site_type_symbol
_atom_site_fract_x
_atom_site_fract_y
_atom_site_fract_z
Pm1 Pm 0.000 0.000 0.210
Pm2 Pm 0.000 0.000 0.790
Sn1 Sn 0.500 0.500 0.500
P1 P 0.500 0.500 0.000
# Density of states at the Fermi level ... 0.71 states/eV/atom
# Space-group type ... P4/mmm, No. 123
# Total DFT energy (no corrections) ... -5.621 eV/atom

---

(8)
# PmYAg4, relaxed, DFT PBE-GGA
data_PmYAg4
_space_group_name_H-M_alt 'P 1'
_space_group_IT_number 1
_cell_length_a 5.745
_cell_length_b 5.745
_cell_length_c 5.745
_cell_angle_alpha 60.00
_cell_angle_beta 60.00
_cell_angle_gamma 60.00
loop_
_space_group_symop_operation_xyz
'x,y,z'
loop_
_atom_site_label
_atom_site_type_symbol
_atom_site_fract_x
_atom_site_fract_y
_atom_site_fract_z
Pm1 Pm 0.000 0.000 0.000
Y1 Y 0.250 0.250 0.250
Ag1 Ag 0.126 0.625 0.625
Ag2 Ag 0.625 0.126 0.625
Ag3 Ag 0.625 0.625 0.126
Ag4 Ag 0.625 0.625 0.625
# Density of states at the Fermi level ... 0.74 states/eV/atom
# Space-group type ... F-43m, No. 216
# Total DFT energy (no corrections) ... -3.939 eV/atom

---

(9)
# CaNd3Hg6, relaxed, DFT PBE-GGA
data_CaNd3Hg6
_space_group_name_H-M_alt 'P 1'
_space_group_IT_number 1
_cell_length_a 9.464
_cell_length_b 5.233
_cell_length_c 11.447
_cell_angle_alpha 90.00
_cell_angle_beta 107.12
_cell_angle_gamma 90.00
loop_
_space_group_symop_operation_xyz
'x,y,z'
loop_
_atom_site_label
_atom_site_type_symbol
_atom_site_fract_x
_atom_site_fract_y
_atom_site_fract_z
Ca1 Ca 0.057 0.250 0.399
Ca2 Ca 0.943 0.750 0.601
Nd1 Nd 0.224 0.250 0.014
Nd2 Nd 0.355 0.750 0.791
Nd3 Nd 0.487 0.250 0.618
Nd4 Nd 0.513 0.750 0.382
Nd5 Nd 0.645 0.250 0.209
Nd6 Nd 0.776 0.750 0.986
Hg1 Hg 0.064 0.750 0.886
Hg2 Hg 0.142 0.750 0.191
Hg3 Hg 0.158 0.250 0.697
Hg4 Hg 0.248 0.750 0.502
Hg5 Hg 0.335 0.250 0.305
Hg6 Hg 0.464 0.750 0.083
Hg7 Hg 0.536 0.250 0.917
Hg8 Hg 0.665 0.750 0.695
Hg9 Hg 0.752 0.250 0.498
Hg10 Hg 0.842 0.750 0.303
Hg11 Hg 0.858 0.250 0.809
Hg12 Hg 0.936 0.250 0.114
# Density of states at the Fermi level ... 0.76 states/eV/atom
# Space-group type ... P2_1/m, No. 11
# Total DFT energy (no corrections) ... -2.253 eV/atom

---

(10)
# TaAsPBr2, relaxed, DFT PBE-GGA
data_TaAsPBr2
_space_group_name_H-M_alt 'P 1'
_space_group_IT_number 1
_cell_length_a 4.840
_cell_length_b 4.840
_cell_length_c 5.036
_cell_angle_alpha 90.00
_cell_angle_beta 90.00
_cell_angle_gamma 90.00
loop_
_space_group_symop_operation_xyz
'x,y,z'
loop_
_atom_site_label
_atom_site_type_symbol
_atom_site_fract_x
_atom_site_fract_y
_atom_site_fract_z
Ta1 Ta 0.000 0.000 0.000
As1 As 0.500 0.500 0.000
P1 P 0.500 0.500 0.500
Br1 Br 0.000 0.500 0.500
Br2 Br 0.500 0.000 0.500
# E_form (uncorrected) ... 1145.5 meV/atom
# Density of states at the Fermi level ... 0.88 states/eV/atom
# Space-group type ... P4/mmm, No. 123
# Total DFT energy (no corrections) ... -3.906 eV/atom

---

(11)
# NaCaZn, relaxed, DFT PBE-GGA
data_NaCaZn
_space_group_name_H-M_alt 'P 1'
_space_group_IT_number 1
_cell_length_a 4.087
_cell_length_b 4.409
_cell_length_c 10.201
_cell_angle_alpha 90.00
_cell_angle_beta 101.43
_cell_angle_gamma 90.00
loop_
_space_group_symop_operation_xyz
'x,y,z'
loop_
_atom_site_label
_atom_site_type_symbol
_atom_site_fract_x
_atom_site_fract_y
_atom_site_fract_z
Na1 Na 0.199 0.250 0.399
Na2 Na 0.801 0.750 0.601
Ca1 Ca 0.415 0.250 0.831
Ca2 Ca 0.585 0.750 0.169
Zn1 Zn 0.036 0.250 0.072
Zn2 Zn 0.964 0.750 0.928
# Density of states at the Fermi level ... 0.54 states/eV/atom
# Space-group type ... P2_1/m, No. 11
# Total DFT energy (no corrections) ... -1.665 eV/atom

---

(12)
# Pm2PrHg4, relaxed, DFT PBE-GGA
data_Pm2PrHg4
_space_group_name_H-M_alt 'P 1'
_space_group_IT_number 1
_cell_length_a 9.471
_cell_length_b 9.471
_cell_length_c 9.471
_cell_angle_alpha 31.97
_cell_angle_beta 31.97
_cell_angle_gamma 31.97
loop_
_space_group_symop_operation_xyz
'x,y,z'
loop_
_atom_site_label
_atom_site_type_symbol
_atom_site_fract_x
_atom_site_fract_y
_atom_site_fract_z
Pm1 Pm 0.242 0.242 0.242
Pm2 Pm 0.758 0.758 0.758
Pr1 Pr 0.000 0.000 0.000
Hg1 Hg 0.126 0.126 0.126
Hg2 Hg 0.379 0.379 0.379
Hg3 Hg 0.621 0.621 0.621
Hg4 Hg 0.874 0.874 0.874
# Density of states at the Fermi level ... 0.93 states/eV/atom
# Space-group type ... R-3m, No. 166
# Total DFT energy (no corrections) ... -2.546 eV/atom